Below is a relaxed structure of Nd3Ga2Rh3, with properties calculated at the PBE level.

As for the energy above the lowest structure with this stoichiometry: 0.00 eV per formula unit. Its crystal system is orthorhombic. The raw total energy is -194.00 eV/cell. The calculation puts the calculated formation energy at -761 meV/atom.

It has space group Pnma (No. 62), with a = 7.760 Å, b = 15.216 Å, c = 5.860 Å, α = 90.00°, β = 90.00° and γ = 90.00°. The asymmetric unit holds Nd at (0.034, 0.105, 0.147), Nd at (0.177, 0.250, 0.606), Ga at (0.116, 0.603, 0.360), Rh at (0.174, 0.750, 0.592) and Rh at (0.179, 0.037, 0.585).

Below is a relaxed structure of ErCd2Ga, with properties calculated at the PBE level.

As for the energy above the lowest structure with this stoichiometry: 0.00 eV per formula unit. Its crystal system is tetragonal. The raw total energy is -10.72 eV/cell. The calculation puts the calculated formation energy at -324 meV/atom.

It has space group P4/mmm (No. 123), with a = 4.310 Å, b = 4.310 Å, c = 4.785 Å, α = 90.00°, β = 90.00° and γ = 90.00°. The asymmetric unit holds Er at (0.000, 0.000, 0.000), Cd at (0.000, 0.500, 0.500) and Ga at (0.500, 0.500, 0.000).

Below is a relaxed structure of HfTaZn2, with properties calculated at the PBE level.

Its crystal system is tetragonal. The raw total energy is -24.55 eV/cell. The calculation puts the calculated formation energy at -50 meV/atom.

It has space group P4/mmm (No. 123), with a = 4.161 Å, b = 4.161 Å, c = 3.939 Å, α = 90.00°, β = 90.00° and γ = 90.00°. The asymmetric unit holds Hf at (0.000, 0.000, 0.000), Ta at (0.500, 0.500, 0.000) and Zn at (0.000, 0.500, 0.500).

Below is a relaxed structure of Pr2NiAg, with properties calculated at the PBE level.

As for the energy above the lowest structure with this stoichiometry: 0.21 eV per formula unit. Its crystal system is cubic. The raw total energy is -75.58 eV/cell. The calculation puts the calculated formation energy at -176 meV/atom.

It has space group Fm-3m (No. 225), with a = 7.335 Å, b = 7.335 Å, c = 7.335 Å, α = 90.00°, β = 90.00° and γ = 90.00°. The asymmetric unit holds Pr at (0.250, 0.250, 0.250), Ni at (0.000, 0.000, 0.000) and Ag at (0.000, 0.000, 0.500).